Pr6TePt2I3: relaxed, PBE.

abc: 7.723 7.723 8.277
angles: 99.03 99.03 119.80
Fractional coordinates of all 12 atoms:
Pr  0.934  0.568  0.805
Pr  0.700  0.700  0.194
Pr  0.066  0.432  0.195
Pr  0.568  0.934  0.805
Pr  0.300  0.300  0.806
Pr  0.432  0.066  0.195
Te  0.000  0.000  0.000
Pt  0.333  0.667  0.000
Pt  0.667  0.333  0.000
I  0.158  0.842  0.500
I  0.842  0.158  0.500
I  0.500  0.500  0.500

Values from the calculation:
The symmetry is C2/m (12). The uncorrected formation energy is -13.624 eV/f.u. The value obtained for the density of states at the Fermi level is 9.20 states/eV/f.u. Its total energy is -5.1812 eV per atom.

=====

Pr3TePtI: relaxed, PBE.

abc: 4.079 7.706 12.481
angles: 102.77 90.00 90.00
Fractional coordinates of all 12 atoms:
Pr  0.750  0.045  0.134
Pr  0.250  0.955  0.866
Pr  0.250  0.699  0.508
Pr  0.750  0.301  0.492
Pr  0.750  0.549  0.139
Pr  0.250  0.451  0.861
Te  0.250  0.351  0.299
Te  0.750  0.649  0.701
Pt  0.250  0.766  0.050
Pt  0.750  0.234  0.950
I  0.250  0.119  0.638
I  0.750  0.881  0.362

Values from the calculation:
The symmetry is P2_1/m (11). The uncorrected formation energy is -6.778 eV/f.u. The value obtained for the density of states at the Fermi level is 3.62 states/eV/f.u. Its total energy is -5.3082 eV per atom.

=====

PrThPtI: relaxed, PBE.

abc: 4.256 4.258 8.559
angles: 90.01 104.40 119.95
Fractional coordinates of all 4 atoms:
Pr  0.507  0.152  0.674
Th  0.094  0.945  0.054
Pt  0.310  0.553  0.879
I  0.966  0.381  0.362

Values from the calculation:
The symmetry is R3m (160). The uncorrected formation energy is -4.033 eV/f.u. The value obtained for the density of states at the Fermi level is 2.89 states/eV/f.u. Its total energy is -5.9559 eV per atom.

=====

PrTmPtI: relaxed, PBE.

abc: 4.188 4.188 8.387
angles: 90.00 104.46 120.00
Fractional coordinates of all 4 atoms:
Pr  0.511  0.153  0.679
Tm  0.092  0.944  0.051
Pt  0.313  0.554  0.883
I  0.962  0.379  0.357

Values from the calculation:
The symmetry is R3m (160). The uncorrected formation energy is -4.394 eV/f.u. The value obtained for the density of states at the Fermi level is 3.89 states/eV/f.u. Its total energy is -5.3091 eV per atom.

=====

Pr8ZnPt3I4: relaxed, PBE.

abc: 8.638 9.522 8.639
angles: 116.99 119.99 90.00
Fractional coordinates of all 16 atoms:
Pr  0.235  0.692  0.957
Pr  0.235  0.692  0.470
Pr  0.269  0.308  0.539
Pr  0.722  0.692  0.957
Pr  0.278  0.308  0.043
Pr  0.731  0.692  0.461
Pr  0.765  0.308  0.530
Pr  0.765  0.308  0.043
Zn  0.000  0.500  0.000
Pt  0.500  0.500  0.000
Pt  0.500  0.500  0.500
Pt  0.000  0.500  0.500
I  0.500  0.000  0.000
I  0.500  0.000  0.500
I  0.000  0.000  0.000
I  0.000  0.000  0.500

Values from the calculation:
The symmetry is R-3m (166). The uncorrected formation energy is -15.265 eV/f.u. The value obtained for the density of states at the Fermi level is 13.24 states/eV/f.u. Its total energy is -4.9436 eV per atom.

=====

Pr2PuI: relaxed, PBE.

abc: 3.661 3.661 12.002
angles: 81.23 81.23 60.00
Fractional coordinates of all 4 atoms:
Pr  0.094  0.094  0.719
Pr  0.906  0.906  0.281
I  0.500  0.500  0.500
Pu  0.000  0.000  0.000

Values from the calculation:
The symmetry is R-3m (166). The uncorrected formation energy is -0.147 eV/f.u. Its energy above the most stable polymorph in this dataset is 202 meV/atom. The value obtained for the density of states at the Fermi level is 12.21 states/eV/f.u. Its total energy is -6.3971 eV per atom.

=====

PrPuI: relaxed, PBE.

abc: 4.205 13.916 6.612
angles: 88.29 90.00 90.00
Fractional coordinates of all 12 atoms:
I  0.003  0.642  0.165
I  0.497  0.642  0.665
I  0.997  0.358  0.835
I  0.503  0.358  0.335
Pu  0.250  0.000  0.569
Pu  0.250  0.000  0.069
Pu  0.750  0.000  0.431
Pu  0.750  0.000  0.931
Pr  0.502  0.199  0.699
Pr  0.002  0.801  0.801
Pr  0.498  0.801  0.301
Pr  0.998  0.199  0.199

Values from the calculation:
The symmetry is P2_1/c (14). The uncorrected formation energy is -1.110 eV/f.u. The value obtained for the density of states at the Fermi level is 4.20 states/eV/f.u. Its total energy is -7.2573 eV per atom.

=====

PrPu2I6: relaxed, PBE.

abc: 4.329 8.948 11.050
angles: 110.74 90.00 104.00
Fractional coordinates of all 9 atoms:
Pr  0.000  0.000  0.500
Pu  0.665  0.329  0.830
Pu  0.335  0.671  0.170
I  0.305  0.610  0.868
I  0.695  0.390  0.132
I  0.975  0.950  0.198
I  0.643  0.287  0.532
I  0.025  0.050  0.802
I  0.357  0.713  0.468

Values from the calculation:
The symmetry is C2/m (12). The uncorrected formation energy is -10.270 eV/f.u. The value obtained for the density of states at the Fermi level is 24.14 states/eV/f.u. Its total energy is -5.8905 eV per atom.

=====

Pr2PuI: relaxed, PBE.

abc: 3.692 3.692 9.582
angles: 90.00 90.00 90.00
Fractional coordinates of all 4 atoms:
Pr  0.000  0.000  0.747
Pr  0.000  0.000  0.253
I  0.500  0.500  0.500
Pu  0.500  0.500  0.000

Values from the calculation:
The symmetry is P4/mmm (123). The uncorrected formation energy is -0.956 eV/f.u. Its energy above the most stable polymorph in this dataset is 0 meV/atom. The value obtained for the density of states at the Fermi level is 9.82 states/eV/f.u. Its total energy is -6.5993 eV per atom.

=====

PrPuRhI: relaxed, PBE.

abc: 4.086 4.087 8.557
angles: 90.00 103.81 119.99
Fractional coordinates of all 4 atoms:
Pr  0.506  0.151  0.673
Pu  0.093  0.944  0.052
Rh  0.311  0.553  0.880
I  0.968  0.382  0.365

Values from the calculation:
The symmetry is R3m (160). The uncorrected formation energy is -2.849 eV/f.u. The value obtained for the density of states at the Fermi level is 11.78 states/eV/f.u. Its total energy is -7.7154 eV per atom.

=====

RbPr4I8: relaxed, PBE.

abc: 8.321 8.321 11.134
angles: 90.00 111.94 120.00
Fractional coordinates of all 13 atoms:
Rb  0.000  0.500  0.500
Pr  0.000  0.000  0.000
Pr  0.000  0.500  0.000
Pr  0.500  0.500  0.000
Pr  0.500  0.000  0.000
I  0.477  0.738  0.215
I  0.523  0.262  0.785
I  0.477  0.238  0.218
I  0.021  0.259  0.782
I  0.523  0.762  0.782
I  0.021  0.762  0.782
I  0.979  0.238  0.218
I  0.979  0.741  0.218

Values from the calculation:
The symmetry is R-3m (166). The uncorrected formation energy is -16.552 eV/f.u. The value obtained for the density of states at the Fermi level is 9.45 states/eV/f.u. Its total energy is -3.7722 eV per atom.

=====

Rb3PrI8: relaxed, PBE.

abc: 8.231 8.231 10.629
angles: 112.78 112.78 90.00
Fractional coordinates of all 12 atoms:
Rb  0.750  0.250  0.500
Rb  0.500  0.500  0.000
Rb  0.250  0.750  0.500
Pr  0.000  0.000  0.000
I  0.341  0.341  0.224
I  0.341  0.883  0.224
I  0.117  0.659  0.776
I  0.117  0.117  0.776
I  0.883  0.883  0.224
I  0.883  0.341  0.224
I  0.659  0.117  0.776
I  0.659  0.659  0.776

Values from the calculation:
The symmetry is I4/mmm (139). The uncorrected formation energy is -13.068 eV/f.u. The value obtained for the density of states at the Fermi level is 15.41 states/eV/f.u. Its total energy is -2.7626 eV per atom.